# TcPRu2

A geometry-optimized TcPRu2 structure (PBE, Alexandria).

```
4
Lattice="-1.4303 2.1512 4.3799 1.4303 -2.1512 4.3799 1.4303 2.1512 -4.3799" Properties=species:S:1:pos:R:3 pbc="T T T"
Tc 0.0000 0.0000 0.0000
P 0.0000 2.1512 2.4683
Ru 1.4303 0.0000 2.4721
Ru 0.0000 0.0000 4.9990
```

## Properties
As for the formation energy: -0.22 eV/atom. The value obtained for the density of states at the Fermi level is 3.10 states/eV/cell. Its spin magnetization is 0.000 μB/f.u. The electronic total energy is -8.802 eV/atom.